This record from Alexandria describes RbErPbO3 after structural relaxation. The functional is PBE-GGA.

- Calculated volume: 20.647 Å³/atom
- ΔE_f (raw): -2.2007 eV per atom
- Total moment: 0.0 Bohr magnetons per cell
- N(E_F): 0.000 states/eV/atom

Unit cell a=7.1002 b=3.5053 c=9.9899 alpha=90.00 beta=94.78 gamma=90.00
Space group P2_1/m (No. 11)
Asymmetric unit:
Rb  0.1131  0.2500  0.1784 x2
Er  0.4118  0.2500  0.8650 x2
Pb  0.2690  0.7500  0.5797 x2
O  0.1569  0.2500  0.7003 x2
O  0.3250  0.7500  0.9931 x2
O  0.4959  0.2500  0.2624 x2

This record from Alexandria describes Rb3Er2PbO6 after structural relaxation. The functional is PBE-GGA.

- Calculated volume: 17.728 Å³/atom
- ΔE_f (raw): -2.1599 eV per atom
- Total moment: 1.5 Bohr magnetons per cell
- N(E_F): 0.357 states/eV/atom

Unit cell a=6.1143 b=10.5930 c=6.8764 alpha=90.00 beta=107.20 gamma=90.00
Space group C2/m (No. 12)
Asymmetric unit:
Rb  0.0000  0.0000  0.0000 x2
Rb  0.0000  0.3362  0.0000 x4
Er  0.0000  0.1669  0.5000 x4
Pb  0.0000  0.5000  0.5000 x2
O  0.2074  0.0000  0.6801 x4
O  0.2368  0.3234  0.6812 x8

This record from Alexandria describes ErRe2PbO8 after structural relaxation. The functional is PBE-GGA.

- Calculated volume: 18.506 Å³/atom
- ΔE_f (raw): -1.7345 eV per atom
- Total moment: 3.0 Bohr magnetons per cell
- N(E_F): 0.605 states/eV/atom

Unit cell a=6.0100 b=6.0100 c=7.0994 alpha=90.00 beta=90.00 gamma=120.00
Space group P-3m1 (No. 164)
Asymmetric unit:
Er  0.0000  0.0000  0.0000 x1
Re  0.3333  0.6667  0.2750 x2
Pb  0.0000  0.0000  0.5000 x1
O  0.1638  0.3275  0.2027 x6
O  0.3333  0.6667  0.5256 x2

This record from Alexandria describes ErRuPbO6 after structural relaxation. The functional is PBE-GGA.

- Calculated volume: 14.230 Å³/atom
- ΔE_f (raw): -1.5489 eV per atom
- Total moment: 0.8 Bohr magnetons per cell
- N(E_F): 0.454 states/eV/atom

Unit cell a=5.5171 b=5.5171 c=4.8584 alpha=90.00 beta=90.00 gamma=120.00
Space group P312 (No. 149)
Asymmetric unit:
Er  0.0000  0.0000  0.0000 x1
Ru  0.3333  0.6667  0.0000 x1
Pb  0.6667  0.3333  0.5000 x1
O  0.0519  0.3705  0.2268 x6

This record from Alexandria describes ErRuPb2O6 after structural relaxation. The functional is PBE-GGA.

- Calculated volume: 14.094 Å³/atom
- ΔE_f (raw): -1.6577 eV per atom
- Total moment: 5.6 Bohr magnetons per cell
- N(E_F): 0.250 states/eV/atom

Unit cell a=5.8355 b=5.8550 c=10.0807 alpha=90.00 beta=125.08 gamma=90.00
Space group P2_1/c (No. 14)
Asymmetric unit:
Er  0.0000  0.0000  0.0000 x2
Ru  0.5000  0.0000  0.5000 x2
Pb  0.2594  0.0282  0.7515 x4
O  0.1911  0.0155  0.2658 x4
O  0.2724  0.7025  0.0401 x4
O  0.3412  0.2289  0.0393 x4

This record from Alexandria describes Er3PbSO after structural relaxation. The functional is PBE-GGA.

- Calculated volume: 23.886 Å³/atom
- ΔE_f (raw): -1.7797 eV per atom
- Total moment: 0.0 Bohr magnetons per cell
- N(E_F): 0.383 states/eV/atom

Unit cell a=8.6218 b=3.8782 c=8.8556 alpha=90.00 beta=104.53 gamma=90.00
Space group P2_1/m (No. 11)
Asymmetric unit:
Er  0.0626  0.2500  0.3445 x2
Er  0.3322  0.2500  0.9754 x2
Er  0.3875  0.7500  0.6424 x2
Pb  0.3087  0.7500  0.2667 x2
S  0.1610  0.2500  0.6590 x2
O  0.4120  0.7500  0.9001 x2